Nd3ThCl | PBE-GGA | relaxed

Properties
Formation energy without anion corrections, meV/atom: -409
Total moment, Bohr magnetons per cell: 0.00
Final energy, eV per atom: -5.12

extended XYZ file:
```
5
Lattice="5.460 0.000 0.000 0.000 5.460 0.000 0.000 0.000 5.460" Properties=species:S:1:pos:R:3 pbc="T T T"
Nd 0.000 0.000 2.730
Nd 0.000 2.730 0.000
Nd 2.730 0.000 0.000
Th 2.730 2.730 2.730
Cl 0.000 0.000 0.000
```